Entry 1:
! GGA-PBE Pr6CdRu2Cl3, optimized geometry; values from VASP
&SYSTEM
  ibrav = 0, nat = 12, ntyp = 4
/
ATOMIC_SPECIES
Pr 140.91 Pr.upf
Cd 112.41 Cd.upf
Ru 101.07 Ru.upf
Cl 35.45 Cl.upf
CELL_PARAMETERS angstrom
3.6165 -6.3419 0.0000
3.6165 6.3419 0.0000
-2.3767 0.0000 7.7128
ATOMIC_POSITIONS angstrom
Pr -0.0722 2.3638 6.0873
Pr 0.9238 0.0000 1.6625
Pr -0.0722 -2.3638 6.0873
Pr 4.9285 2.3638 1.6254
Pr 3.9326 0.0000 6.0503
Pr 4.9285 -2.3638 1.6254
Cd 3.6165 0.0000 0.0000
Ru 3.6165 4.2598 0.0000
Ru 3.6165 -4.2598 0.0000
Cl -1.1883 0.0000 3.8564
Cl 2.4282 2.2210 3.8564
Cl 2.4282 -2.2210 3.8564
! **DOS at the Fermi energy**: 6.0 states/eV per cell
! **Raw formation energy**: -10.4 eV/f.u.
! **Space-group type**: C2/m (12)


Entry 2:
! GGA-PBE CdPt2Cl, optimized geometry; values from VASP
&SYSTEM
  ibrav = 0, nat = 4, ntyp = 3
/
ATOMIC_SPECIES
Cd 112.41 Cd.upf
Pt 195.08 Pt.upf
Cl 35.45 Cl.upf
CELL_PARAMETERS angstrom
2.1708 -2.1779 0.0000
2.1708 2.1779 0.0000
0.0000 0.0000 7.7282
ATOMIC_POSITIONS angstrom
Cd 0.0000 0.0000 0.0000
Pt 0.0000 0.0000 3.5663
Pt 2.1708 0.0000 1.8471
Cl 2.1708 0.0000 5.7892
! **DOS at the Fermi energy**: 5.8 states/eV per cell
! **Raw formation energy**: 0.3 eV/f.u.
! **Space-group type**: Cmm2 (35)
! **Energy relative to the lowest polymorph listed for this composition**: 0.45 eV/f.u.


Entry 3:
! GGA-PBE CdPt2Cl, optimized geometry; values from VASP
&SYSTEM
  ibrav = 0, nat = 8, ntyp = 3
/
ATOMIC_SPECIES
Cd 112.41 Cd.upf
Pt 195.08 Pt.upf
Cl 35.45 Cl.upf
CELL_PARAMETERS angstrom
-1.9391 1.9391 10.1533
1.9391 -1.9391 10.1533
1.9391 1.9391 -10.1533
ATOMIC_POSITIONS angstrom
Cd 0.0000 0.0000 0.0000
Cd 0.0000 1.9391 5.0766
Pt 2.9087 0.9414 -2.5383
Pt 0.9414 0.9696 2.5383
Pt -0.9696 0.9977 7.6149
Pt 0.9977 0.9696 12.6916
Cl 1.9391 0.0000 5.0766
Cl 0.0000 0.0000 10.1533
! **DOS at the Fermi energy**: 6.5 states/eV per cell
! **Raw formation energy**: 0.7 eV/f.u.
! **Space-group type**: I-42d (122)
! **Energy relative to the lowest polymorph listed for this composition**: 0.85 eV/f.u.


Entry 4:
! GGA-PBE CdPt2Cl, optimized geometry; values from VASP
&SYSTEM
  ibrav = 0, nat = 4, ntyp = 3
/
ATOMIC_SPECIES
Cd 112.41 Cd.upf
Pt 195.08 Pt.upf
Cl 35.45 Cl.upf
CELL_PARAMETERS angstrom
1.5841 0.9146 8.3579
-1.5841 0.9146 8.3579
0.0000 -1.8292 8.3579
ATOMIC_POSITIONS angstrom
Cd 0.0000 0.0000 0.0000
Pt 0.0000 0.0000 6.2465
Pt 0.0000 0.0000 12.5970
Cl 0.0000 0.0000 18.8194
! **DOS at the Fermi energy**: 5.4 states/eV per cell
! **Raw formation energy**: 0.4 eV/f.u.
! **Space-group type**: R3m (160)
! **Energy relative to the lowest polymorph listed for this composition**: 0.51 eV/f.u.


Question: Number 3 is which compound?
Answer: CdPt2Cl